Compound: BeBiC3
Source: Alexandria
Functional: PBE
Structure: optimized geometry

```
BeBiC3
1.0
3.843 0.000 0.000
0.000 3.843 0.000
0.000 0.000 3.843
Be Bi C
1 1 3
direct
0.000 0.000 0.000 Be
0.500 0.500 0.500 Bi
0.000 0.000 0.500 C
0.000 0.500 0.000 C
0.500 0.000 0.000 C
```

Results
N(E_F)	0.842	states/eV/atom
symmetry	Pm-3m (221)
magnetic moment	0.000	μB/atom
relative energy among the computed polymorphs	0.0000	eV/atom

Compound: Be3BiC
Source: Alexandria
Functional: PBE
Structure: optimized geometry

```
Be3BiC
1.0
3.908 0.000 0.000
0.000 3.908 0.000
0.000 0.000 3.908
Be Bi C
3 1 1
direct
0.000 0.000 0.500 Be
0.000 0.500 0.000 Be
0.500 0.000 0.000 Be
0.500 0.500 0.500 Bi
0.000 0.000 0.000 C
```

Results
N(E_F)	0.524	states/eV/atom
symmetry	Pm-3m (221)
magnetic moment	0.000	μB/atom
relative energy among the computed polymorphs	0.0000	eV/atom

Compound: BeBiC2
Source: Alexandria
Functional: PBE
Structure: optimized geometry

```
BeBiC2
1.0
4.590 0.000 0.000
0.000 4.590 0.000
0.000 0.000 10.171
Be Bi C
4 4 8
direct
0.000 0.000 0.000 Be
0.000 0.500 0.250 Be
0.500 0.000 0.750 Be
0.500 0.500 0.500 Be
0.000 0.000 0.500 Bi
0.000 0.500 0.750 Bi
0.500 0.000 0.250 Bi
0.500 0.500 0.000 Bi
0.167 0.250 0.125 C
0.250 0.667 0.375 C
0.250 0.833 0.875 C
0.333 0.250 0.625 C
0.667 0.750 0.625 C
0.750 0.167 0.875 C
0.750 0.333 0.375 C
0.833 0.750 0.125 C
```

Results
N(E_F)	0.468	states/eV/atom
symmetry	I-42d (122)
magnetic moment	0.000	μB/atom
relative energy among the computed polymorphs	0.0000	eV/atom

Compound: Be2BiC2
Source: Alexandria
Functional: PBE
Structure: optimized geometry

```
Be2BiC2
1.0
6.764 0.000 0.000
0.000 6.764 0.000
0.000 0.000 3.036
Be Bi C
4 2 4
direct
0.115 0.385 0.000 Be
0.385 0.885 0.000 Be
0.615 0.115 0.000 Be
0.885 0.615 0.000 Be
0.000 0.000 0.000 Bi
0.500 0.500 0.000 Bi
0.069 0.569 0.500 C
0.431 0.069 0.500 C
0.569 0.931 0.500 C
0.931 0.431 0.500 C
```

Results
N(E_F)	0.106	states/eV/atom
symmetry	P4/mbm (127)
magnetic moment	0.000	μB/atom
relative energy among the computed polymorphs	0.0000	eV/atom

Compound: Be2BiC2
Source: Alexandria
Functional: PBE
Structure: optimized geometry

```
Be2BiC2
1.0
3.476 0.000 0.000
0.000 3.476 0.000
0.000 0.000 10.625
Be Bi C
4 2 4
direct
0.000 0.000 0.196 Be
0.000 0.000 0.804 Be
0.500 0.500 0.304 Be
0.500 0.500 0.696 Be
0.000 0.000 0.500 Bi
0.500 0.500 0.000 Bi
0.000 0.500 0.250 C
0.000 0.500 0.750 C
0.500 0.000 0.250 C
0.500 0.000 0.750 C
```

Results
N(E_F)	0.429	states/eV/atom
symmetry	I4/mmm (139)
magnetic moment	0.000	μB/atom
relative energy among the computed polymorphs	0.2180	eV/atom

Compound: BeBiC2
Source: Alexandria
Functional: PBE
Structure: optimized geometry

```
BeBiC2
1.0
5.897 0.000 0.000
0.000 5.897 0.000
0.000 0.000 5.897
Be Bi C
4 4 8
direct
0.000 0.000 0.000 Be
0.000 0.500 0.500 Be
0.500 0.000 0.500 Be
0.500 0.500 0.000 Be
0.000 0.000 0.500 Bi
0.000 0.500 0.000 Bi
0.500 0.000 0.000 Bi
0.500 0.500 0.500 Bi
0.250 0.250 0.250 C
0.250 0.250 0.750 C
0.250 0.750 0.250 C
0.250 0.750 0.750 C
0.750 0.250 0.250 C
0.750 0.250 0.750 C
0.750 0.750 0.250 C
0.750 0.750 0.750 C
```

Results
N(E_F)	0.437	states/eV/atom
symmetry	Fm-3m (225)
magnetic moment	0.000	μB/atom
relative energy among the computed polymorphs	1.0658	eV/atom

- magnetic moment of number 3 (BeBiC2)?
  0.000 μB/atom

Please write out number 1 again, unchanged.
Compound: BeBiC3
Source: Alexandria
Functional: PBE
Structure: optimized geometry

```
BeBiC3
1.0
3.843 0.000 0.000
0.000 3.843 0.000
0.000 0.000 3.843
Be Bi C
1 1 3
direct
0.000 0.000 0.000 Be
0.500 0.500 0.500 Bi
0.000 0.000 0.500 C
0.000 0.500 0.000 C
0.500 0.000 0.000 C
```

Results
N(E_F)	0.842	states/eV/atom
symmetry	Pm-3m (221)
magnetic moment	0.000	μB/atom
relative energy among the computed polymorphs	0.0000	eV/atom

- Which value of relative energy among the computed polymorphs does entry 2 give?
  0.0000 eV/atom